Below is a crystal of SrCdAg relaxed with PBEsol, with properties calculated at the meta-GGA SCAN level.

Summary:
Space-group type: P-6m2, No. 187
Energy of formation, kcal/mol of atoms: -7.697
DOS(E_F), states/eV per atom: 0.60
Theoretical density, g cm⁻³: 6.34

Unit cell a=3.983 b=4.835 c=4.835 alpha=120.00 beta=90.00 gamma=90.00
Fractional positions:
Sr 0.500 0.667 0.333
Ag 0.000 0.000 0.000
Cd 0.000 0.333 0.667